Entry 1:
K2BaTe | PBE | relaxed

uncorrected formation energy	-0.623	eV/atom

```
4
Lattice="5.2404 0.0083 0.0000 -0.0152 5.2404 0.0000 0.0000 0.0000 6.8069" Properties=species:S:1:pos:R:3 pbc="T T T"
Ba -0.0076 2.6202 3.4034
K 0.0000 0.0000 0.0000
K 2.6126 2.6244 0.0000
Te 2.6202 0.0041 3.4034
```



Entry 2:
Tl2TcMo | PBE | relaxed

distance to the lowest polymorph of the same formula	0.300	eV per atom

```
4
Lattice="-1.9677 -3.1695 -4.2169 -0.3288 -5.1487 -2.2546 -4.4155 -2.4223 1.2447" Properties=species:S:1:pos:R:3 pbc="T T T"
Mo -3.5058 -5.7483 -2.8696
Tc -1.5245 -2.2996 -1.0460
Tl -2.5038 -8.3030 -6.2829
Tl -4.8301 -8.0781 -4.1133
```



Entry 3:
MgCoAu | PBE | relaxed

distance to the lowest polymorph of the same formula	0.008	eV per atom

```
3
Lattice="6.0535 0.0222 -0.0235 5.3657 2.8033 -0.0182 0.6879 0.1659 2.7762" Properties=species:S:1:pos:R:3 pbc="T T T"
Au 11.3372 2.8052 -0.0202
Co 4.2637 1.0521 1.8372
Mg 7.9254 1.9596 0.8757
```



Entry 4:
YCuP2 | PBE | relaxed

calculated total energy	-5.667	eV/atom

```
4
Lattice="-2.1919 2.6165 -4.0712 -4.9985 0.6626 -1.6736 -3.2272 4.2057 -0.3502" Properties=species:S:1:pos:R:3 pbc="T T T"
Cu -3.1021 2.2288 -1.8150
P -10.2339 7.3529 -5.9876
P -7.3988 5.3159 -4.3289
Y -5.3092 3.8145 -3.1063
```



Entry 5:
Ac4CeSb6 | PBE | relaxed

uncorrected formation energy	-0.988	eV/atom

```
22
Lattice="-6.1541 -3.5187 5.9235 -6.2797 -1.3959 -6.6302 4.0108 -8.1988 -1.4265" Properties=species:S:1:pos:R:3 pbc="T T T"
Ac -2.0907 -3.5326 0.9701
Ac -5.4395 -6.4409 2.9670
Ac -4.9739 -2.8273 -2.8835
Ac -0.1003 -7.3778 -1.2466
Ac -8.3226 -5.7357 -0.8866
Ac -3.4491 -10.2861 0.7504
Ac -2.9835 -6.6725 -5.1002
Ac -6.3323 -9.5809 -3.1032
Ce -4.2115 -6.5567 -1.0666
Ce 0.0000 0.0000 0.0000
Sb -4.3291 -3.1837 3.4433
Sb -2.2078 -1.3324 -1.7159
Sb -5.5343 -4.1465 0.3601
Sb -3.4857 -8.9767 3.9680
Sb -2.3375 -7.0497 1.3499
Sb -2.0331 -4.7270 -2.2917
Sb -6.3899 -8.3864 0.1586
Sb -6.0854 -6.0637 -3.4831
Sb -4.9373 -4.1368 -6.1012
Sb -2.8887 -8.9669 -2.4932
Sb -6.2152 -11.7811 -0.4172
Sb -4.0938 -9.9297 -5.5765
```



Entry 6:
PmLuCu4 | PBE | relaxed

calculated total energy	-4.432	eV/atom

```
6
Lattice="-4.7854 -1.9893 -0.9534 -0.8180 -2.9585 -4.2830 -0.8480 -5.1769 0.4965" Properties=species:S:1:pos:R:3 pbc="T T T"
Lu -1.6128 -2.5312 -1.1850
Cu -3.6047 -3.7515 -3.2031
Cu -3.6195 -4.8507 -0.8350
Cu -4.0248 -6.3165 -2.9571
Cu -1.6538 -5.3308 -2.4847
Pm 0.0000 0.0000 0.0000
```



Entry 7:
TbY2Er7 | PBE | relaxed

distance to the lowest polymorph of the same formula	0.588	eV per atom

```
10
Lattice="-4.2379 -2.6869 0.5743 3.2021 -6.4614 -6.6002 1.3550 -0.0678 9.6812" Properties=species:S:1:pos:R:3 pbc="T T T"
Tb 0.0000 0.0000 0.0000
Y 0.5340 -5.9039 -1.4723
Y -0.2148 -3.3122 5.1275
Er 2.8485 -5.2376 -3.4839
Er 1.7086 -1.2916 6.5648
Er -1.4912 -1.8498 2.5507
Er 1.8104 -7.3663 1.1046
Er -1.1036 -3.1913 -0.8655
Er 1.4228 -6.0248 4.5208
Er 0.1596 -4.6080 1.8276
```



Entry 8:
UAg2AsO6 | PBE | relaxed

uncorrected formation energy	-1.510	eV/atom

```
10
Lattice="5.5614 0.0000 -0.3164 0.0000 5.6914 0.0000 -2.5678 -2.8457 4.0984" Properties=species:S:1:pos:R:3 pbc="T T T"
U 0.0000 2.8457 0.0000
Ag 0.0755 0.0000 1.9596
Ag 2.9182 2.8457 1.8224
As 2.7807 0.0000 -0.1582
O 0.5729 2.8457 2.0926
O -1.0879 -1.5237 3.6792
O 4.0815 1.3220 0.1028
O -1.0879 1.5237 3.6792
O 4.0815 4.3695 0.1028
O 2.4207 0.0000 1.6894
```